Material: GaBIr
Method: DFT, PBE-GGA
State: relaxed

POSCAR file:
```
GaBIr
1.0
-1.470 1.470 5.488
1.470 -1.470 5.488
1.470 1.470 -5.488
Ga B Ir
1 1 1
Direct
0.000 0.000 0.000
0.190 0.190 0.000
0.361 0.361 0.000
```

## Properties
- SG = I4mm
- N(E_F) (states/eV/cell) = 0.49
- energy of formation from the pure elements (eV/atom) = 0.442
- energy above the most stable polymorph in this dataset (eV per atom) = 0.694